A geometry-optimized Sm12Er3Tl structure. Source: Alexandria, functional PBE-GGA.

Lattice parameters (Å, degrees): 5.0300 5.0300 20.4281 90.00 90.00 90.00
Fractional coordinates of all 16 atoms:
Sm  0.5000  0.5000  0.0000
Sm  0.5000  0.5000  0.2467
Sm  0.5000  0.5000  0.5000
Sm  0.5000  0.5000  0.7533
Sm  0.5000  0.0000  0.1221
Sm  0.5000  0.0000  0.3739
Sm  0.5000  0.0000  0.6261
Sm  0.5000  0.0000  0.8779
Sm  0.0000  0.5000  0.1221
Sm  0.0000  0.5000  0.3739
Sm  0.0000  0.5000  0.6261
Sm  0.0000  0.5000  0.8779
Er  0.0000  0.0000  0.2487
Er  0.0000  0.0000  0.5000
Er  0.0000  0.0000  0.7513
Tl  0.0000  0.0000  0.0000

Values from the calculation:
ΔH_f (0 K): -0.029 eV/atom
Total moment: 0.0 μB/f.u.
Volume: 516.85 Å³/cell
SG: P4/mmm (123)
Uncorrected energy: -4.572 eV per atom